[1]
Material: CaSmScCd
Method: DFT, PBE
State: optimized geometry

Cell lengths 5.460, 5.460, 5.460 Å; angles 60.00, 60.00, 60.00 degrees
Fractional coordinates of all 4 atoms:
Ca 0.000 0.000 0.000
Cd 0.750 0.750 0.750
Sc 0.250 0.250 0.250
Sm 0.500 0.500 0.500

Values from the calculation:
* electronic total energy: -13.93 eV for the cell shown
* calculated formation energy: 0.81 kJ/mol of atoms
* magnetization: 0.00 Bohr magnetons per cell

=====

[2]
Material: TcAsRh
Method: DFT, PBE
State: optimized geometry

Cell lengths 5.323, 5.323, 5.323 Å; angles 147.28, 147.28, 46.95 degrees
Fractional coordinates of all 3 atoms:
Tc 0.651 0.651 0.000
As 0.006 0.006 0.000
Rh 0.343 0.343 0.000

Values from the calculation:
* electronic total energy: -22.44 eV for the cell shown
* calculated formation energy: -2.26 kJ/mol of atoms
* magnetization: 0.00 Bohr magnetons per cell

=====

[3]
Material: GaGeS3
Method: DFT, PBE
State: optimized geometry

Cell lengths 4.740, 4.740, 4.740 Å; angles 90.00, 90.00, 90.00 degrees
Fractional coordinates of all 5 atoms:
Ga 0.500 0.500 0.500
Ge 0.000 0.000 0.000
S 0.000 0.000 0.500
S 0.000 0.500 0.000
S 0.500 0.000 0.000

Values from the calculation:
* electronic total energy: -18.86 eV for the cell shown
* formation energy (no corrections): 234 meV/atom
* magnetization: 0.00 Bohr magnetons per cell

=====

[4]
Material: RbSi2P2
Method: DFT, PBE
State: optimized geometry

Cell lengths 6.204, 6.931, 6.888 Å; angles 84.64, 64.68, 58.53 degrees
Fractional coordinates of all 10 atoms:
Rb 0.867 0.708 0.271
Rb 0.133 0.292 0.729
P 0.271 0.726 0.439
P 0.472 0.194 0.124
P 0.729 0.274 0.561
P 0.528 0.806 0.876
Si 0.672 0.327 0.250
Si 0.328 0.673 0.750
Si 0.197 0.034 0.226
Si 0.803 0.966 0.774

Values from the calculation:
* electronic total energy: -45.62 eV for the cell shown
* formation energy (no corrections): -35 meV/atom
* magnetization: 0.00 Bohr magnetons per cell

=====

Among the records above, which one has the highest electronic total energy?
CaSmScCd